Here is a relaxed structure of SnPb2 from Alexandria via LeMat-Bulk. Energies are from PBE-GGA.

Results
As for the calculated volume: 206.3 Å³/cell. The final energy is -3.67 eV per atom.

The structure in CIF format:
```
data_SnPb2
_symmetry_space_group_name_H-M 'P 1'
_symmetry_Int_Tables_number 1
_cell_length_a 8.799
_cell_length_b 6.614
_cell_length_c 6.614
_cell_angle_alpha 63.16
_cell_angle_beta 47.06
_cell_angle_gamma 47.07
loop_
_symmetry_equiv_pos_as_xyz
'x,y,z'
loop_
_atom_site_label
_atom_site_type_symbol
_atom_site_fract_x
_atom_site_fract_y
_atom_site_fract_z
_atom_site_occupancy
Sn1 Sn 0.749 0.001 0.001 1
Sn2 Sn 0.251 0.999 0.999 1
Pb1 Pb 0.249 0.001 0.500 1
Pb2 Pb 0.751 0.999 0.500 1
Pb3 Pb 0.250 0.500 0.000 1
Pb4 Pb 0.750 0.500 0.001 1
```